A geometry-optimized KGe structure, computed with PBE.

SG: Immm, No. 71
Energy above the lowest structure with this stoichiometry: 183 meV/atom
Formation energy: -0.030 eV/atom
Spin magnetization: 0.00 μB/f.u.
Crystal system: orthorhombic

a b c (Å): 6.444 6.444 6.444
angles (deg): 129.44 106.05 95.06
Fractional coordinates of all 4 atoms:
K: 0.247 0.247 0.000
K: 0.753 0.753 0.000
Ge: 0.144 0.500 0.644
Ge: 0.856 0.500 0.356


A geometry-optimized BiAu structure, computed with PBE.

SG: I4/m, No. 87
Formation energy: 0.052 eV/atom
Spin magnetization: 0.00 μB/f.u.
Crystal system: tetragonal

a b c (Å): 7.346 7.346 7.346
angles (deg): 96.69 96.69 140.09
Fractional coordinates of all 8 atoms:
Bi: 0.137 0.332 0.469
Bi: 0.332 0.863 0.195
Bi: 0.668 0.137 0.805
Bi: 0.863 0.668 0.531
Au: 0.308 0.570 0.878
Au: 0.430 0.308 0.738
Au: 0.570 0.692 0.262
Au: 0.692 0.430 0.122


A geometry-optimized Ce3PmNd2P6 structure, computed with PBE.

SG: C2/m, No. 12
Formation energy: -1.532 eV/atom
Spin magnetization: 1.43 μB/f.u.
Crystal system: monoclinic

a b c (Å): 7.136 7.136 7.136
angles (deg): 99.59 99.59 120.01
Fractional coordinates of all 12 atoms:
Ce: 0.000 0.000 0.000
Ce: 0.333 0.667 0.000
Ce: 0.667 0.333 0.000
Pm: 0.500 0.500 0.500
Nd: 0.167 0.833 0.500
Nd: 0.833 0.167 0.500
P: 0.082 0.414 0.243
P: 0.254 0.254 0.757
P: 0.414 0.082 0.243
P: 0.586 0.918 0.757
P: 0.746 0.746 0.243
P: 0.918 0.586 0.757


A geometry-optimized Cs3YAg2Br9 structure, computed with PBE.

SG: P-3m1, No. 164
Raw formation energy: -1.3362 eV per atom
Spin magnetization: 0.00 μB/f.u.
Crystal system: trigonal

a b c (Å): 7.935 7.935 9.840
angles (deg): 90.00 90.00 120.00
Fractional coordinates of all 15 atoms:
Cs: 0.000 0.000 0.000
Cs: 0.333 0.667 0.678
Cs: 0.667 0.333 0.322
Y: 0.000 0.000 0.500
Ag: 0.333 0.667 0.152
Ag: 0.667 0.333 0.848
Br: 0.000 0.500 0.000
Br: 0.167 0.333 0.336
Br: 0.167 0.833 0.336
Br: 0.333 0.167 0.664
Br: 0.500 0.000 0.000
Br: 0.500 0.500 0.000
Br: 0.667 0.833 0.336
Br: 0.833 0.167 0.664
Br: 0.833 0.667 0.664


A geometry-optimized SrTb4Te5 structure, computed with PBE.

SG: Immm, No. 71
Raw formation energy: -1.3742 eV per atom
Spin magnetization: 0.00 μB/f.u.
Crystal system: orthorhombic

a b c (Å): 11.710 11.710 11.710
angles (deg): 158.05 149.02 38.29
Fractional coordinates of all 10 atoms:
Sr: 0.000 0.000 0.000
Tb: 0.207 0.207 0.000
Tb: 0.398 0.398 0.000
Tb: 0.602 0.602 0.000
Tb: 0.793 0.793 0.000
Te: 0.107 0.607 0.500
Te: 0.302 0.802 0.500
Te: 0.500 0.000 0.500
Te: 0.698 0.198 0.500
Te: 0.893 0.393 0.500


A geometry-optimized Hf2MnInH structure, computed with PBE.

SG: P4/mmm, No. 123
Total DFT energy (no corrections): -7.15 eV per atom
Spin magnetization: 1.11 μB/f.u.
Crystal system: tetragonal

a b c (Å): 4.587 4.587 3.726
angles (deg): 90.00 90.00 90.00
Fractional coordinates of all 5 atoms:
Hf: 0.000 0.500 0.000
Hf: 0.500 0.000 0.000
Mn: 0.000 0.000 0.500
In: 0.500 0.500 0.500
H: 0.000 0.000 0.000